# 1
A geometry-optimized Ca3CuRh structure, computed with GGA-PBE.

Cell lengths 4.241, 9.194, 6.629 Å; angles 90.00, 90.00, 90.00 degrees
Fractional positions:
Ca (0.250, 0.056, 0.218)
Ca (0.250, 0.250, 0.740)
Ca (0.250, 0.444, 0.218)
Ca (0.750, 0.556, 0.782)
Ca (0.750, 0.750, 0.260)
Ca (0.750, 0.944, 0.782)
Cu (0.250, 0.750, 0.579)
Cu (0.750, 0.250, 0.421)
Rh (0.250, 0.750, 0.959)
Rh (0.750, 0.250, 0.041)

ΔE to the lowest computed polymorph ... 0 meV per atom
Formation energy from the elements ... -251 meV/atom
N(E_F) ... 6.24 states/eV/cell

# 2
A geometry-optimized Zr2CuBr structure, computed with GGA-PBE.

Cell lengths 7.459, 7.459, 7.459 Å; angles 133.92, 133.92, 67.21 degrees
Fractional positions:
Zr (0.087, 0.625, 0.962)
Zr (0.375, 0.337, 0.462)
Zr (0.663, 0.125, 0.038)
Zr (0.875, 0.913, 0.538)
Cu (0.000, 0.000, 0.000)
Cu (0.750, 0.250, 0.500)
Br (0.250, 0.750, 0.500)
Br (0.500, 0.500, 0.000)

ΔE to the lowest computed polymorph ... 583 meV per atom
N(E_F) ... 7.02 states/eV/cell

# 3
A geometry-optimized HfTlSe3 structure, computed with GGA-PBE.

Cell lengths 7.616, 7.616, 8.428 Å; angles 100.09, 100.09, 40.77 degrees
Fractional positions:
Hf (0.153, 0.153, 0.387)
Hf (0.847, 0.847, 0.613)
Tl (0.376, 0.376, 0.134)
Tl (0.624, 0.624, 0.866)
Se (0.035, 0.035, 0.643)
Se (0.153, 0.153, 0.096)
Se (0.333, 0.333, 0.542)
Se (0.667, 0.667, 0.458)
Se (0.847, 0.847, 0.904)
Se (0.965, 0.965, 0.357)

ΔE to the lowest computed polymorph ... 5 meV per atom